Compound: MgTeW2
Source: Alexandria via LeMat-Bulk
Functional: PBE
Structure: relaxed

Geometry as POSCAR:
```
MgTeW2
1.0
-3.1896 7.0007 -5.1803
-3.5777 4.6827 -7.1618
-5.7270 5.2706 -5.0440
Te W Mg
1 2 1
direct
0.7500 0.7500 0.7500
0.0050 0.0050 0.0050
0.4950 0.4950 0.4950
0.2500 0.2500 0.2500
```

Magnetic moment = 0.00 μB per cell
Volume = 18.63 Å³ per atom
Total DFT energy (no corrections) = -27.4 eV per cell
Calculated density = 11.6 g/cm3
Distance to the lowest polymorph of the same formula = 162 kJ/mol of formula units

***

Compound: MgTeW2
Source: Alexandria via LeMat-Bulk
Functional: PBE
Structure: relaxed

Geometry as POSCAR:
```
MgTeW2
1.0
-1.9118 -1.2015 1.8906
-2.4986 -1.5499 -3.5115
2.9291 -4.6859 -0.0160
W Te Mg
2 1 1
direct
0.0000 0.0000 0.0140
0.0000 0.0000 0.4860
0.5000 0.5000 0.7500
0.5000 0.5000 0.2500
```

Magnetic moment = 0.00 μB per cell
Volume = 18.63 Å³ per atom
Total DFT energy (no corrections) = -27.1 eV per cell
Calculated density = 11.6 g/cm3
Distance to the lowest polymorph of the same formula = 196 kJ/mol of formula units

***

Compound: MgTeW2
Source: Alexandria via LeMat-Bulk
Functional: PBE
Structure: relaxed

Geometry as POSCAR:
```
MgTeW2
1.0
-6.2763 2.4906 -6.1440
-4.6081 0.2709 -7.8762
-6.9829 -0.6904 -5.8399
W Mg Te
2 1 1
direct
0.2608 0.2608 0.2608
0.9922 0.9922 0.9922
0.5069 0.5069 0.5069
0.7401 0.7401 0.7401
```

Magnetic moment = 0.00 μB per cell
Volume = 20.71 Å³ per atom
Total DFT energy (no corrections) = -29.1 eV per cell
Calculated density = 10.4 g/cm3
Distance to the lowest polymorph of the same formula = 5 kJ/mol of formula units

***

Compound: Mg2TeW
Source: Alexandria via LeMat-Bulk
Functional: PBE
Structure: relaxed

Geometry as POSCAR:
```
Mg2TeW
1.0
9.9031 0.0042 0.0025
9.4054 3.0998 0.0025
9.4054 1.5120 2.7061
W Mg Te
1 2 1
direct
0.7500 0.7500 0.7500
0.4923 0.4923 0.4923
0.0077 0.0077 0.0077
0.2500 0.2500 0.2500
```

Magnetic moment = 0.00 μB per cell
Volume = 20.72 Å³ per atom
Total DFT energy (no corrections) = -17.6 eV per cell
Calculated density = 7.2 g/cm3

***

Compound: Mg2TeW
Source: Alexandria via LeMat-Bulk
Functional: PBE
Structure: relaxed

Geometry as POSCAR:
```
Mg2TeW
1.0
-0.7068 3.3689 1.3168
-3.2963 -0.0475 -1.6478
-2.3329 -2.3400 4.7344
Mg Te W
2 1 1
direct
0.0000 0.0000 0.5194
0.0000 0.0000 0.9806
0.5000 0.5000 0.2500
0.5000 0.5000 0.7500
```

Magnetic moment = 0.00 μB per cell
Volume = 19.60 Å³ per atom
Total DFT energy (no corrections) = -17.6 eV per cell
Calculated density = 7.6 g/cm3

***

Compound: MgTeW4
Source: Alexandria via LeMat-Bulk
Functional: PBE
Structure: relaxed

Geometry as POSCAR:
```
MgTeW4
1.0
-0.2780 2.5112 4.7923
-4.6687 0.0847 2.7470
-0.5190 -2.8955 4.5493
W Te Mg
4 1 1
direct
0.3764 0.3764 0.3764
0.8708 0.3764 0.3764
0.3764 0.8708 0.3764
0.3764 0.3764 0.8708
0.0000 0.0000 0.0000
0.7500 0.7500 0.7500
```

Magnetic moment = 0.00 μB per cell
Volume = 18.74 Å³ per atom
Total DFT energy (no corrections) = -52.4 eV per cell
Calculated density = 13.1 g/cm3